DFT (GGA-PBE) results for an optimized crystal structure of TaCu3C.

The structure in extended XYZ format:
```
5
Lattice="-1.4182 -0.9413 -3.5442 -2.0204 -2.9707 1.5974 -3.0603 2.3975 0.5879" Properties=species:S:1:pos:R:3 pbc="T T T"
C 0.0000 0.0000 0.0000
Ta -3.2495 -0.7573 -0.6795
Cu -1.0102 -1.4854 0.7987
Cu -0.7091 -0.4706 -1.7721
Cu -1.5302 1.1987 0.2939
```

## Properties
space-group type = Pm-3m (221)
uncorrected energy = -29.70 eV/f.u.
offset from the most stable computed form = 0 meV/atom
magnetic moment = 0.0 μB/f.u.
formation enthalpy at 0 K = 0.73 eV/atom

DFT (GGA-PBE) results for an optimized crystal structure of TaCu3C.

The structure in extended XYZ format:
```
5
Lattice="4.7957 0.0000 0.0000 0.0000 4.7957 0.0000 0.0000 0.0000 4.7957" Properties=species:S:1:pos:R:3 pbc="T T T"
Cu 0.0000 0.0000 2.3979
Cu 2.3979 0.0000 0.0000
Cu 0.0000 2.3979 0.0000
C 2.3979 2.3979 2.3979
Ta 0.0000 0.0000 0.0000
```

## Properties
space-group type = Pm-3m (221)
uncorrected energy = -19.23 eV/f.u.
offset from the most stable computed form = 2093 meV/atom
magnetic moment = 1.7 μB/f.u.
formation enthalpy at 0 K = 2.83 eV/atom

DFT (GGA-PBE) results for an optimized crystal structure of TaCuC.

The structure in extended XYZ format:
```
6
Lattice="-2.8561 -1.5427 1.7835 -2.2788 -2.3027 -1.7952 2.2787 -6.6156 1.7725" Properties=species:S:1:pos:R:3 pbc="T T T"
Cu 0.0002 -3.5699 0.7581
Cu -2.8563 -6.8910 1.0026
Ta -0.0639 -7.0539 1.4877
Ta -2.7922 -3.4070 0.2731
C -1.7384 -8.3853 1.5003
C -1.1177 -2.0756 0.2605
```

## Properties
space-group type = R-3m (166)
uncorrected energy = -24.87 eV/f.u.
magnetic moment = 0.0 μB/f.u.
formation enthalpy at 0 K = 0.10 eV/atom

DFT (GGA-PBE) results for an optimized crystal structure of TaTiCuC2.

The structure in extended XYZ format:
```
5
Lattice="-1.4924 -0.9454 -3.3855 1.7140 -4.4359 0.4831 -3.2373 -1.0631 1.7240" Properties=species:S:1:pos:R:3 pbc="T T T"
C -0.7462 -0.4727 -1.6927
C -1.6187 -0.5316 0.8620
Ti -1.5079 -3.2222 -0.5892
Ta 0.8570 -2.2179 0.2416
Cu 0.0000 0.0000 0.0000
```

## Properties
space-group type = P4/mmm (123)
uncorrected energy = -32.10 eV/f.u.
magnetic moment = 0.0 μB/f.u.
formation enthalpy at 0 K = 2.04 eV/atom